Mn2AsPb: relaxed, PBE.

Cell: 7.136 7.136 7.136 Å, 153.74 151.43 39.19°
Sites, in units of the cell vectors:
Mn (0.000, 0.000, 0.000)
Mn (0.819, 0.319, 0.500)
As (0.447, 0.447, 0.000)
Pb (0.186, 0.686, 0.500)

Results
Symmetry: Imm2, No. 44
E above lowest polymorph: 0.03 eV per formula unit
Energy of formation from the pure elements: 0.157 eV/atom